This record from Alexandria describes a relaxed structure of NiMoNF2. The functional is PBE with a Hubbard U.

The space group is P4/mmm (No. 123) and the conventional cell measures 4.1850, 4.1850 and 3.9929 Å, with angles of 90.00, 90.00 and 90.00 degrees. Symmetry generates all atoms from Ni at (0.0000, 0.0000, 0.0000), Mo at (0.5000, 0.5000, 0.5000), N at (0.5000, 0.5000, 0.0000) and F at (0.0000, 0.5000, 0.5000).

The value obtained for the volume is 14.0 Å³/atom. The value obtained for the total energy is -24.649 eV/cell.